Material: NiPb3
Method: DFT, PBE
State: optimized geometry

Output
- SG = Pmmn (59)
- E_form (meV per atom) = 120
- total DFT energy (no corrections) (Ha/atom) = -0.1509
- total magnetization (μB per formula unit) = 0.00

abc: 3.488 6.691 9.021
angles: 90.00 90.00 90.00
Atoms (fractional coordinates):
Ni 0.250 0.250 0.196
Ni 0.750 0.750 0.804
Pb 0.250 0.006 0.667
Pb 0.250 0.494 0.667
Pb 0.250 0.750 0.035
Pb 0.750 0.250 0.965
Pb 0.750 0.506 0.333
Pb 0.750 0.994 0.333

---

Material: Ni2Pb
Method: DFT, PBE
State: optimized geometry

Output
- SG = Cmcm (63)
- E_form (meV per atom) = 242
- total DFT energy (no corrections) (Ha/atom) = -0.1782
- total magnetization (μB per formula unit) = 0.00

abc: 6.534 6.534 3.955
angles: 90.00 90.00 146.87
Atoms (fractional coordinates):
Ni 0.080 0.920 0.750
Ni 0.253 0.747 0.250
Ni 0.747 0.253 0.750
Ni 0.920 0.080 0.250
Pb 0.396 0.604 0.750
Pb 0.604 0.396 0.250

---

Material: NiPb3
Method: DFT, PBE
State: optimized geometry

Output
- SG = Cmcm (63)
- E_form (meV per atom) = 132
- total DFT energy (no corrections) (Ha/atom) = -0.1505
- total magnetization (μB per formula unit) = 0.00

abc: 7.645 7.645 3.774
angles: 90.00 90.00 103.78
Atoms (fractional coordinates):
Ni 0.062 0.938 0.750
Ni 0.938 0.062 0.250
Pb 0.061 0.321 0.750
Pb 0.321 0.061 0.250
Pb 0.383 0.617 0.250
Pb 0.617 0.383 0.750
Pb 0.679 0.939 0.750
Pb 0.939 0.679 0.250

---

Material: Ni3Pb2
Method: DFT, PBE
State: optimized geometry

Output
- SG = R-3m (166)
- E_form (meV per atom) = 206
- total DFT energy (no corrections) (Ha/atom) = -0.1744
- total magnetization (μB per formula unit) = 0.00

abc: 6.451 6.451 6.451
angles: 37.10 37.10 37.10
Atoms (fractional coordinates):
Ni 0.000 0.000 0.000
Ni 0.147 0.147 0.147
Ni 0.853 0.853 0.853
Pb 0.408 0.408 0.408
Pb 0.592 0.592 0.592